No. 1
{
  "formula": "LiCoPHO5",
  "functional": "GGA-PBEsol",
  "state": "relaxed",
  "sg": "P-1",
  "density_g_cm3": 3.76,
  "final_energy_ev_per_atom": -6.745,
  "lattice": [[4.998, 0.000, 0.000], [-0.753, 5.141, 0.000], [-2.246, -2.388, 6.109]],
  "species": ["Li", "Li", "Co", "Co", "P", "P", "H", "H", "O", "O", "O", "O", "O", "O", "O", "O", "O", "O"],
  "frac_coords": [[0.241, 0.388, 0.319], [0.759, 0.612, 0.681], [0.500, 0.000, 0.000], [0.500, 0.000, 0.500], [0.180, 0.353, 0.736], [0.820, 0.647, 0.264], [0.152, 0.915, 0.147], [0.848, 0.085, 0.853], [0.137, 0.762, 0.438], [0.195, 0.665, 0.844], [0.227, 0.201, 0.900], [0.354, 0.044, 0.226], [0.399, 0.334, 0.619], [0.601, 0.666, 0.381], [0.646, 0.956, 0.774], [0.773, 0.799, 0.100], [0.805, 0.335, 0.156], [0.863, 0.238, 0.562]]
}

=====

No. 2
{
  "formula": "LiCo2P4H3O14",
  "functional": "GGA-PBEsol",
  "state": "relaxed",
  "sg": "Cc",
  "density_g_cm3": 3.08,
  "dos_ef_per_ev_fu": 11.50,
  "final_energy_ev_per_atom": -6.930,
  "lattice": [[5.458, -6.339, 0.000], [5.458, 6.339, 0.000], [-4.917, 0.000, 7.416]],
  "species": ["Li", "Li", "Co", "Co", "Co", "Co", "P", "P", "P", "P", "P", "P", "P", "P", "H", "H", "H", "H", "H", "H", "O", "O", "O", "O", "O", "O", "O", "O", "O", "O", "O", "O", "O", "O", "O", "O", "O", "O", "O", "O", "O", "O", "O", "O", "O", "O", "O", "O"],
  "frac_coords": [[0.140, 0.860, 0.500], [0.860, 0.140, 0.000], [0.002, 0.502, 0.753], [0.099, 0.905, 0.003], [0.502, 0.002, 0.253], [0.905, 0.099, 0.503], [0.186, 0.267, 0.939], [0.217, 0.645, 0.188], [0.267, 0.186, 0.439], [0.359, 0.786, 0.818], [0.645, 0.217, 0.688], [0.737, 0.817, 0.067], [0.786, 0.359, 0.318], [0.817, 0.737, 0.567], [0.229, 0.458, 0.552], [0.458, 0.229, 0.052], [0.496, 0.997, 0.750], [0.545, 0.774, 0.452], [0.774, 0.545, 0.952], [0.997, 0.496, 0.250], [0.070, 0.124, 0.955], [0.086, 0.293, 0.772], [0.107, 0.671, 0.024], [0.119, 0.639, 0.303], [0.124, 0.070, 0.455], [0.217, 0.599, 0.704], [0.241, 0.366, 0.443], [0.245, 0.453, 0.115], [0.293, 0.086, 0.272], [0.334, 0.898, 0.981], [0.363, 0.883, 0.701], [0.366, 0.241, 0.943], [0.406, 0.787, 0.301], [0.453, 0.245, 0.615], [0.552, 0.760, 0.890], [0.599, 0.217, 0.204], [0.637, 0.762, 0.560], [0.639, 0.119, 0.803], [0.671, 0.107, 0.524], [0.711, 0.917, 0.233], [0.760, 0.552, 0.390], [0.762, 0.637, 0.060], [0.787, 0.406, 0.801], [0.881, 0.934, 0.050], [0.883, 0.363, 0.201], [0.898, 0.334, 0.481], [0.917, 0.711, 0.733], [0.934, 0.881, 0.550]]
}

=====

No. 3
{
  "formula": "Li2CoPHO5",
  "functional": "GGA-PBEsol",
  "state": "relaxed",
  "sg": "P-1",
  "density_g_cm3": 3.36,
  "dos_ef_per_ev_fu": 7.30,
  "final_energy_ev_per_atom": -6.465,
  "lattice": [[5.254, 0.000, 0.000], [-0.345, 5.442, 0.000], [-2.510, -2.579, 6.393]],
  "species": ["Li", "Li", "Li", "Li", "Co", "Co", "P", "P", "H", "H", "O", "O", "O", "O", "O", "O", "O", "O", "O", "O"],
  "frac_coords": [[0.005, 0.127, 0.333], [0.277, 0.390, 0.206], [0.723, 0.610, 0.794], [0.995, 0.873, 0.667], [0.500, 0.000, 0.000], [0.500, 0.000, 0.500], [0.167, 0.375, 0.741], [0.833, 0.625, 0.259], [0.189, 0.892, 0.127], [0.811, 0.108, 0.873], [0.118, 0.775, 0.433], [0.147, 0.669, 0.838], [0.230, 0.243, 0.906], [0.337, 0.047, 0.225], [0.385, 0.351, 0.641], [0.615, 0.649, 0.359], [0.663, 0.953, 0.775], [0.770, 0.757, 0.094], [0.853, 0.331, 0.162], [0.882, 0.225, 0.567]]
}

=====

No. 4
{
  "formula": "Li2CoHRh",
  "functional": "GGA-PBEsol",
  "state": "relaxed",
  "sg": "P4/mmm",
  "density_g_cm3": 5.92,
  "dos_ef_per_ev_fu": 4.13,
  "final_energy_ev_per_atom": -4.607,
  "lattice": [[3.585, 0.000, 0.000], [0.000, 3.585, 0.000], [0.000, 0.000, 3.855]],
  "species": ["Li", "Li", "Co", "H", "Rh"],
  "frac_coords": [[0.000, 0.500, 0.000], [0.500, 0.000, 0.000], [0.000, 0.000, 0.500], [0.500, 0.500, 0.000], [0.500, 0.500, 0.500]]
}

=====

No. 5
{
  "formula": "LiCo2HRu",
  "functional": "GGA-PBEsol",
  "state": "relaxed",
  "sg": "P4/mmm",
  "density_g_cm3": 5.77,
  "dos_ef_per_ev_fu": 7.88,
  "final_energy_ev_per_atom": -5.227,
  "lattice": [[4.513, 0.000, 0.000], [0.000, 4.513, 0.000], [0.000, 0.000, 3.205]],
  "species": ["Li", "Co", "Co", "H", "Ru"],
  "frac_coords": [[0.000, 0.000, 0.000], [0.000, 0.500, 0.500], [0.500, 0.000, 0.500], [0.500, 0.500, 0.000], [0.500, 0.500, 0.500]]
}

=====

No. 6
{
  "formula": "MgCo2H2",
  "functional": "GGA-PBEsol",
  "state": "relaxed",
  "sg": "P4/mbm",
  "density_g_cm3": 5.65,
  "dos_ef_per_ev_fu": 3.46,
  "final_energy_ev_per_atom": -4.427,
  "lattice": [[5.646, 0.000, 0.000], [0.000, 5.646, 0.000], [0.000, 0.000, 2.658]],
  "species": ["Mg", "Mg", "Co", "Co", "Co", "Co", "H", "H", "H", "H"],
  "frac_coords": [[0.000, 0.000, 0.000], [0.500, 0.500, 0.000], [0.135, 0.365, 0.500], [0.365, 0.865, 0.500], [0.635, 0.135, 0.500], [0.865, 0.635, 0.500], [0.112, 0.612, 0.000], [0.388, 0.112, 0.000], [0.612, 0.888, 0.000], [0.888, 0.388, 0.000]]
}

=====

No. 7
{
  "formula": "MgCoSbH2",
  "functional": "GGA-PBEsol",
  "state": "relaxed",
  "sg": "P4/mmm",
  "density_g_cm3": 4.99,
  "dos_ef_per_ev_fu": 3.56,
  "final_energy_ev_per_atom": -3.427,
  "lattice": [[3.744, 0.000, 0.000], [0.000, 3.744, 0.000], [0.000, 0.000, 4.917]],
  "species": ["Mg", "Co", "Sb", "H", "H"],
  "frac_coords": [[0.000, 0.000, 0.000], [0.000, 0.000, 0.500], [0.500, 0.500, 0.000], [0.000, 0.500, 0.500], [0.500, 0.000, 0.500]]
}

=====

No. 8
{
  "formula": "Co3MoH",
  "functional": "GGA-PBEsol",
  "state": "relaxed",
  "sg": "Pm-3m",
  "density_g_cm3": 9.87,
  "dos_ef_per_ev_fu": 3.10,
  "final_energy_ev_per_atom": -7.703,
  "lattice": [[3.584, 0.000, 0.000], [0.000, 3.584, 0.000], [0.000, 0.000, 3.584]],
  "species": ["Co", "Co", "Co", "Mo", "H"],
  "frac_coords": [[0.000, 0.000, 0.500], [0.000, 0.500, 0.000], [0.500, 0.000, 0.000], [0.500, 0.500, 0.500], [0.000, 0.000, 0.000]]
}

=====

No. 9
{
  "formula": "CoMoH2SeO7",
  "functional": "GGA-PBEsol",
  "state": "relaxed",
  "sg": "P-1",
  "density_g_cm3": 4.45,
  "dos_ef_per_ev_fu": 3.31,
  "final_energy_ev_per_atom": -6.788,
  "lattice": [[4.921, 0.000, 0.000], [-2.185, 6.111, 0.000], [-0.949, -0.645, 8.632]],
  "species": ["Co", "Co", "Mo", "Mo", "H", "H", "H", "H", "Se", "Se", "O", "O", "O", "O", "O", "O", "O", "O", "O", "O", "O", "O", "O", "O"],
  "frac_coords": [[0.000, 0.000, 0.000], [0.500, 0.500, 0.500], [0.203, 0.906, 0.604], [0.797, 0.094, 0.396], [0.373, 0.358, 0.144], [0.462, 0.750, 0.985], [0.538, 0.250, 0.015], [0.627, 0.642, 0.856], [0.135, 0.683, 0.242], [0.865, 0.317, 0.758], [0.136, 0.960, 0.790], [0.168, 0.196, 0.513], [0.206, 0.773, 0.066], [0.269, 0.656, 0.601], [0.342, 0.519, 0.277], [0.354, 0.243, 0.058], [0.366, 0.917, 0.370], [0.634, 0.083, 0.630], [0.646, 0.757, 0.942], [0.658, 0.481, 0.723], [0.731, 0.344, 0.399], [0.794, 0.227, 0.934], [0.832, 0.804, 0.487], [0.864, 0.040, 0.210]]
}

=====

No. 10
{
  "formula": "TaCoMoH2",
  "functional": "GGA-PBEsol",
  "state": "relaxed",
  "sg": "P4/mmm",
  "density_g_cm3": 10.24,
  "dos_ef_per_ev_fu": 3.16,
  "final_energy_ev_per_atom": -7.217,
  "lattice": [[3.461, 0.000, 0.000], [0.000, 3.461, 0.000], [0.000, 0.000, 4.573]],
  "species": ["Ta", "Co", "Mo", "H", "H"],
  "frac_coords": [[0.000, 0.000, 0.000], [0.500, 0.500, 0.000], [0.500, 0.500, 0.500], [0.000, 0.500, 0.500], [0.500, 0.000, 0.500]]
}

=====

No. 11
{
  "formula": "CoPH6NO5",
  "functional": "GGA-PBEsol",
  "state": "relaxed",
  "sg": "Pnma",
  "density_g_cm3": 2.74,
  "de_polymorph_ev_per_atom": 0.0000,
  "dos_ef_per_ev_fu": 5.60,
  "final_energy_ev_per_atom": -6.017,
  "lattice": [[17.648, 0.000, 0.000], [0.000, 5.555, 0.000], [0.000, 0.000, 4.702]],
  "species": ["Co", "Co", "Co", "Co", "P", "P", "P", "P", "H", "H", "H", "H", "H", "H", "H", "H", "H", "H", "H", "H", "H", "H", "H", "H", "H", "H", "H", "H", "H", "H", "H", "H", "N", "N", "N", "N", "O", "O", "O", "O", "O", "O", "O", "O", "O", "O", "O", "O", "O", "O", "O", "O", "O", "O", "O", "O"],
  "frac_coords": [[0.239, 0.250, 0.117], [0.261, 0.750, 0.617], [0.739, 0.250, 0.383], [0.761, 0.750, 0.883], [0.155, 0.750, 0.184], [0.345, 0.250, 0.684], [0.655, 0.750, 0.316], [0.845, 0.250, 0.816], [0.021, 0.750, 0.937], [0.024, 0.750, 0.568], [0.045, 0.095, 0.255], [0.045, 0.405, 0.255], [0.159, 0.108, 0.689], [0.159, 0.392, 0.689], [0.341, 0.608, 0.189], [0.341, 0.892, 0.189], [0.455, 0.595, 0.755], [0.455, 0.905, 0.755], [0.476, 0.250, 0.068], [0.479, 0.250, 0.437], [0.521, 0.750, 0.563], [0.524, 0.750, 0.932], [0.545, 0.095, 0.245], [0.545, 0.405, 0.245], [0.659, 0.108, 0.811], [0.659, 0.392, 0.811], [0.841, 0.608, 0.311], [0.841, 0.892, 0.311], [0.955, 0.595, 0.745], [0.955, 0.905, 0.745], [0.976, 0.250, 0.432], [0.979, 0.250, 0.063], [0.012, 0.250, 0.253], [0.488, 0.750, 0.753], [0.512, 0.250, 0.247], [0.988, 0.750, 0.747], [0.069, 0.750, 0.249], [0.151, 0.250, 0.813], [0.166, 0.750, 0.863], [0.193, 0.528, 0.332], [0.193, 0.972, 0.332], [0.307, 0.028, 0.832], [0.307, 0.472, 0.832], [0.334, 0.250, 0.363], [0.349, 0.750, 0.313], [0.431, 0.250, 0.749], [0.569, 0.750, 0.251], [0.651, 0.250, 0.687], [0.666, 0.750, 0.637], [0.693, 0.528, 0.168], [0.693, 0.972, 0.168], [0.807, 0.028, 0.668], [0.807, 0.472, 0.668], [0.834, 0.250, 0.137], [0.849, 0.750, 0.187], [0.931, 0.250, 0.751]]
}

=====

No. 12
{
  "formula": "CoPH16NO10",
  "functional": "GGA-PBEsol",
  "state": "relaxed",
  "sg": "Pmn2_1",
  "density_g_cm3": 2.01,
  "dos_ef_per_ev_fu": 3.59,
  "final_energy_ev_per_atom": -5.508,
  "lattice": [[6.883, 0.000, 0.000], [0.000, 6.032, 0.000], [0.000, 0.000, 11.150]],
  "species": ["Co", "Co", "P", "P", "H", "H", "H", "H", "H", "H", "H", "H", "H", "H", "H", "H", "H", "H", "H", "H", "H", "H", "H", "H", "H", "H", "H", "H", "H", "H", "H", "H", "H", "H", "H", "H", "N", "N", "O", "O", "O", "O", "O", "O", "O", "O", "O", "O", "O", "O", "O", "O", "O", "O", "O", "O", "O", "O"],
  "frac_coords": [[0.000, 0.142, 0.000], [0.500, 0.858, 0.500], [0.000, 0.488, 0.625], [0.500, 0.512, 0.125], [0.000, 0.122, 0.267], [0.000, 0.251, 0.406], [0.000, 0.686, 0.965], [0.000, 0.785, 0.829], [0.120, 0.526, 0.114], [0.122, 0.002, 0.379], [0.176, 0.650, 0.428], [0.179, 0.863, 0.641], [0.203, 0.300, 0.805], [0.246, 0.882, 0.129], [0.254, 0.118, 0.629], [0.297, 0.700, 0.305], [0.321, 0.137, 0.141], [0.324, 0.350, 0.928], [0.378, 0.998, 0.879], [0.380, 0.474, 0.614], [0.500, 0.215, 0.329], [0.500, 0.314, 0.465], [0.500, 0.749, 0.906], [0.500, 0.878, 0.767], [0.620, 0.474, 0.614], [0.622, 0.998, 0.879], [0.676, 0.350, 0.928], [0.679, 0.137, 0.141], [0.703, 0.700, 0.305], [0.746, 0.118, 0.629], [0.754, 0.882, 0.129], [0.797, 0.300, 0.805], [0.821, 0.863, 0.641], [0.824, 0.650, 0.428], [0.878, 0.002, 0.379], [0.880, 0.526, 0.114], [0.000, 0.100, 0.359], [0.500, 0.900, 0.859], [0.000, 0.475, 0.069], [0.000, 0.503, 0.487], [0.000, 0.725, 0.681], [0.000, 0.826, 0.916], [0.185, 0.365, 0.668], [0.203, 0.041, 0.120], [0.229, 0.243, 0.889], [0.271, 0.757, 0.389], [0.297, 0.959, 0.620], [0.315, 0.635, 0.168], [0.500, 0.174, 0.416], [0.500, 0.275, 0.181], [0.500, 0.497, 0.987], [0.500, 0.525, 0.569], [0.685, 0.635, 0.168], [0.703, 0.959, 0.620], [0.729, 0.757, 0.389], [0.771, 0.243, 0.889], [0.797, 0.041, 0.120], [0.815, 0.365, 0.668]]
}

=====

Copy entry 3 word for word.
{
  "formula": "Li2CoPHO5",
  "functional": "GGA-PBEsol",
  "state": "relaxed",
  "sg": "P-1",
  "density_g_cm3": 3.36,
  "dos_ef_per_ev_fu": 7.30,
  "final_energy_ev_per_atom": -6.465,
  "lattice": [[5.254, 0.000, 0.000], [-0.345, 5.442, 0.000], [-2.510, -2.579, 6.393]],
  "species": ["Li", "Li", "Li", "Li", "Co", "Co", "P", "P", "H", "H", "O", "O", "O", "O", "O", "O", "O", "O", "O", "O"],
  "frac_coords": [[0.005, 0.127, 0.333], [0.277, 0.390, 0.206], [0.723, 0.610, 0.794], [0.995, 0.873, 0.667], [0.500, 0.000, 0.000], [0.500, 0.000, 0.500], [0.167, 0.375, 0.741], [0.833, 0.625, 0.259], [0.189, 0.892, 0.127], [0.811, 0.108, 0.873], [0.118, 0.775, 0.433], [0.147, 0.669, 0.838], [0.230, 0.243, 0.906], [0.337, 0.047, 0.225], [0.385, 0.351, 0.641], [0.615, 0.649, 0.359], [0.663, 0.953, 0.775], [0.770, 0.757, 0.094], [0.853, 0.331, 0.162], [0.882, 0.225, 0.567]]
}